Record 1
Sr3ZrO after structural relaxation. Source: Alexandria, functional PBE-GGA.

Summary:
For the total energy, the calculation gives -21.50 eV for the cell shown. As for the density of states at the Fermi level: 1.419 states/eV/atom. For the volume, the calculation gives 29.815 Å³ per atom. The value obtained for the uncorrected formation energy is -57 kJ per mole of atoms. Its magnetization is 2.63 μB per cell.

Structure (CIF):
```
data_Sr3ZrO
_cell_length_a 5.3024
_cell_length_b 5.3024
_cell_length_c 5.3024
_cell_angle_alpha 90.00
_cell_angle_beta 90.00
_cell_angle_gamma 90.00
_space_group_name_H-M_alt 'P 1'
_space_group_IT_number 1
_space_group_name_Hall 'P 1'
loop_
_atom_site_label
_atom_site_type_symbol
_atom_site_fract_x
_atom_site_fract_y
_atom_site_fract_z
Sr1 Sr 0.0000 0.0000 0.5000
Sr2 Sr 0.0000 0.5000 0.0000
Sr3 Sr 0.5000 0.0000 0.0000
Zr1 Zr 0.5000 0.5000 0.5000
O1 O 0.0000 0.0000 0.0000
```



Record 2
Pm6AlTl after structural relaxation. Source: Alexandria, functional PBE-GGA.

Summary:
For the total energy, the calculation gives -36.10 eV for the cell shown. As for the density of states at the Fermi level: 1.761 states/eV/atom. For the volume, the calculation gives 29.709 Å³ per atom. The value obtained for the formation energy is -186 meV per atom. Its magnetization is 0.00 μB per cell.

Structure (CIF):
```
data_Pm6AlTl
_cell_length_a 4.9155
_cell_length_b 4.9155
_cell_length_c 9.8363
_cell_angle_alpha 90.00
_cell_angle_beta 90.00
_cell_angle_gamma 90.00
_space_group_name_H-M_alt 'P 1'
_space_group_IT_number 1
_space_group_name_Hall 'P 1'
loop_
_atom_site_label
_atom_site_type_symbol
_atom_site_fract_x
_atom_site_fract_y
_atom_site_fract_z
Pm1 Pm 0.0000 0.0000 0.0000
Pm2 Pm 0.0000 0.0000 0.5000
Pm3 Pm 0.0000 0.5000 0.2424
Pm4 Pm 0.0000 0.5000 0.7576
Pm5 Pm 0.5000 0.0000 0.2424
Pm6 Pm 0.5000 0.0000 0.7576
Al1 Al 0.5000 0.5000 0.0000
Tl1 Tl 0.5000 0.5000 0.5000
```



Record 3
BaAc2Pt after structural relaxation. Source: Alexandria, functional PBE-GGA.

Summary:
For the total energy, the calculation gives -55.76 eV for the cell shown. As for the density of states at the Fermi level: 1.076 states/eV/atom. For the volume, the calculation gives 45.136 Å³ per atom. The value obtained for the formation energy is -602 meV per atom. Its magnetization is 0.00 μB per cell.

Structure (CIF):
```
data_BaAc2Pt
_cell_length_a 4.4557
_cell_length_b 4.4557
_cell_length_c 31.5028
_cell_angle_alpha 90.00
_cell_angle_beta 90.00
_cell_angle_gamma 120.00
_space_group_name_H-M_alt 'P 1'
_space_group_IT_number 1
_space_group_name_Hall 'P 1'
loop_
_atom_site_label
_atom_site_type_symbol
_atom_site_fract_x
_atom_site_fract_y
_atom_site_fract_z
Ba1 Ba 0.0000 0.0000 0.0000
Ba2 Ba 0.3333 0.6667 0.6667
Ba3 Ba 0.6667 0.3333 0.3333
Ac1 Ac 0.0000 0.0000 0.5500
Ac2 Ac 0.0000 0.0000 0.7802
Ac3 Ac 0.3333 0.6667 0.2167
Ac4 Ac 0.3333 0.6667 0.4469
Ac5 Ac 0.6667 0.3333 0.1135
Ac6 Ac 0.6667 0.3333 0.8834
Pt1 Pt 0.0000 0.0000 0.1650
Pt2 Pt 0.3333 0.6667 0.8316
Pt3 Pt 0.6667 0.3333 0.4983
```



Record 4
CoTc after structural relaxation. Source: Alexandria, functional PBE-GGA.

Summary:
For the total energy, the calculation gives -101.61 eV for the cell shown. As for the density of states at the Fermi level: 1.043 states/eV/atom. For the volume, the calculation gives 13.510 Å³ per atom. The value obtained for the formation energy is 268 meV per atom. Its magnetization is 0.95 μB per cell.

Structure (CIF):
```
data_CoTc
_cell_length_a 6.8796
_cell_length_b 6.8796
_cell_length_c 3.9554
_cell_angle_alpha 90.00
_cell_angle_beta 90.00
_cell_angle_gamma 120.00
_space_group_name_H-M_alt 'P 1'
_space_group_IT_number 1
_space_group_name_Hall 'P 1'
loop_
_atom_site_label
_atom_site_type_symbol
_atom_site_fract_x
_atom_site_fract_y
_atom_site_fract_z
Co1 Co 0.0392 0.2249 0.2500
Co2 Co 0.1856 0.9608 0.2500
Co3 Co 0.2249 0.1856 0.7500
Co4 Co 0.7751 0.8144 0.2500
Co5 Co 0.8144 0.0392 0.7500
Co6 Co 0.9608 0.7751 0.7500
Tc1 Tc 0.1044 0.4751 0.7500
Tc2 Tc 0.3707 0.8956 0.7500
Tc3 Tc 0.4751 0.3707 0.2500
Tc4 Tc 0.5249 0.6293 0.7500
Tc5 Tc 0.6293 0.1044 0.2500
Tc6 Tc 0.8956 0.5249 0.2500
```



Record 5
ThMg2Hg2 after structural relaxation. Source: Alexandria, functional PBE-GGA.

Summary:
For the total energy, the calculation gives -24.33 eV for the cell shown. As for the density of states at the Fermi level: 0.480 states/eV/atom. For the volume, the calculation gives 24.432 Å³ per atom. The value obtained for the formation energy is -190 meV per atom. Its magnetization is 0.00 μB per cell.

Structure (CIF):
```
data_ThMg2Hg2
_cell_length_a 4.9274
_cell_length_b 3.8838
_cell_length_c 12.7669
_cell_angle_alpha 90.00
_cell_angle_beta 90.00
_cell_angle_gamma 90.00
_space_group_name_H-M_alt 'P 1'
_space_group_IT_number 1
_space_group_name_Hall 'P 1'
loop_
_atom_site_label
_atom_site_type_symbol
_atom_site_fract_x
_atom_site_fract_y
_atom_site_fract_z
Th1 Th 0.2495 0.2500 0.2537
Th2 Th 0.7505 0.7500 0.7463
Mg1 Mg 0.2499 0.7500 0.4846
Mg2 Mg 0.2505 0.2500 0.8659
Mg3 Mg 0.7495 0.7500 0.1341
Mg4 Mg 0.7501 0.2500 0.5154
Hg1 Hg 0.2505 0.2500 0.6496
Hg2 Hg 0.2496 0.7500 0.0351
Hg3 Hg 0.7504 0.2500 0.9649
Hg4 Hg 0.7495 0.7500 0.3504
```



Record 6
CsNb2AsO8 after structural relaxation. Source: Alexandria, functional PBE-GGA.

Summary:
For the total energy, the calculation gives -89.42 eV for the cell shown. As for the density of states at the Fermi level: 0.000 states/eV/atom. For the volume, the calculation gives 19.493 Å³ per atom. The value obtained for the uncorrected formation energy is -194 kJ per mole of atoms. Its magnetization is 0.00 μB per cell.

Structure (CIF):
```
data_CsNb2AsO8
_cell_length_a 5.4527
_cell_length_b 5.4527
_cell_length_c 9.3383
_cell_angle_alpha 104.99
_cell_angle_beta 104.99
_cell_angle_gamma 62.09
_space_group_name_H-M_alt 'P 1'
_space_group_IT_number 1
_space_group_name_Hall 'P 1'
loop_
_atom_site_label
_atom_site_type_symbol
_atom_site_fract_x
_atom_site_fract_y
_atom_site_fract_z
Cs1 Cs 0.0000 0.0000 0.0000
Nb1 Nb 0.1981 0.1981 0.6673
Nb2 Nb 0.8019 0.8019 0.3327
As1 As 0.5000 0.5000 0.5000
O1 O 0.2030 0.6627 0.3534
O2 O 0.3094 0.3094 0.8594
O3 O 0.3141 0.3141 0.5322
O4 O 0.3373 0.7970 0.6466
O5 O 0.6627 0.2030 0.3534
O6 O 0.6859 0.6859 0.4678
O7 O 0.6906 0.6906 0.1406
O8 O 0.7970 0.3373 0.6466
```



Record 7
PrInNi3 after structural relaxation. Source: Alexandria, functional PBE-GGA.

Summary:
For the total energy, the calculation gives -51.94 eV for the cell shown. As for the density of states at the Fermi level: 0.402 states/eV/atom. For the volume, the calculation gives 17.722 Å³ per atom. The value obtained for the formation energy is -222 meV per atom. Its magnetization is 0.00 μB per cell.

Structure (CIF):
```
data_PrInNi3
_cell_length_a 7.8394
_cell_length_b 7.8394
_cell_length_c 4.7946
_cell_angle_alpha 90.00
_cell_angle_beta 90.00
_cell_angle_gamma 143.03
_space_group_name_H-M_alt 'P 1'
_space_group_IT_number 1
_space_group_name_Hall 'P 1'
loop_
_atom_site_label
_atom_site_type_symbol
_atom_site_fract_x
_atom_site_fract_y
_atom_site_fract_z
Pr1 Pr 0.2000 0.8000 0.7500
Pr2 Pr 0.8000 0.2000 0.2500
In1 In 0.4361 0.5639 0.2500
In2 In 0.5639 0.4361 0.7500
Ni1 Ni 0.0000 0.0000 0.0000
Ni2 Ni 0.0000 0.0000 0.5000
Ni3 Ni 0.1457 0.3746 0.7500
Ni4 Ni 0.3746 0.1457 0.2500
Ni5 Ni 0.6254 0.8543 0.7500
Ni6 Ni 0.8543 0.6254 0.2500
```



Record 8
Na5Cd4P4 after structural relaxation. Source: Alexandria, functional PBE-GGA.

Summary:
For the total energy, the calculation gives -35.13 eV for the cell shown. As for the density of states at the Fermi level: 0.297 states/eV/atom. For the volume, the calculation gives 22.616 Å³ per atom. The value obtained for the formation energy is -249 meV per atom. Its magnetization is 0.00 μB per cell.

Structure (CIF):
```
data_Na5Cd4P4
_cell_length_a 8.6043
_cell_length_b 8.6043
_cell_length_c 8.6043
_cell_angle_alpha 93.46
_cell_angle_beta 93.46
_cell_angle_gamma 151.57
_space_group_name_H-M_alt 'P 1'
_space_group_IT_number 1
_space_group_name_Hall 'P 1'
loop_
_atom_site_label
_atom_site_type_symbol
_atom_site_fract_x
_atom_site_fract_y
_atom_site_fract_z
Na1 Na 0.0000 0.0000 0.0000
Na2 Na 0.3004 0.3694 0.6697
Na3 Na 0.3694 0.6996 0.0690
Na4 Na 0.6306 0.3004 0.9310
Na5 Na 0.6996 0.6306 0.3303
Cd1 Cd 0.1137 0.5939 0.7077
Cd2 Cd 0.4061 0.1137 0.5198
Cd3 Cd 0.5939 0.8863 0.4802
Cd4 Cd 0.8863 0.4061 0.2923
P1 P 0.0538 0.2553 0.3091
P2 P 0.2553 0.9462 0.2014
P3 P 0.7447 0.0538 0.7986
P4 P 0.9462 0.7447 0.6909
```